Record 1
The following is a DFT calculation (PBE) of an optimized crystal structure of BaNiPd3.

- ΔE_f (eV per atom) = 0.015
- theoretical density (g/cm3) = 7.790
- DOS at the Fermi energy (states/eV per cell) = 7.4
- M_tot (μB per atom) = 0.20
- raw total energy (eV per cell) = -23.2

POSCAR file:
```
BaNiPd3
1.0
4.789 0.000 0.000
0.000 4.789 0.000
0.000 0.000 4.789
Ni Ba Pd
1 1 3
Cartesian
0.000 0.000 0.000
2.395 2.395 2.395
0.000 2.395 0.000
0.000 0.000 2.395
2.395 0.000 0.000
```

Record 2
The following is a DFT calculation (PBE) of an optimized crystal structure of ZnCo2Ni.

- ΔE_f (eV per atom) = 0.000
- theoretical density (g/cm3) = 8.729
- DOS at the Fermi energy (states/eV per cell) = 5.5
- M_tot (μB per atom) = 0.85
- raw total energy (eV per cell) = -21.3

POSCAR file:
```
ZnCo2Ni
1.0
4.321 -0.022 0.003
1.266 4.131 -0.003
-2.795 -2.052 2.575
Co Ni Zn
2 1 1
Cartesian
0.000 0.000 0.000
2.159 -0.010 1.289
2.793 2.055 0.000
0.632 2.067 1.286
```

Record 3
The following is a DFT calculation (PBE) of an optimized crystal structure of TiTlS3.

- E_form (uncorrected) (eV/atom) = -0.667
- theoretical density (g/cm3) = 5.231
- DOS at the Fermi energy (states/eV per cell) = 2.5
- M_tot (μB per atom) = 0.00
- raw total energy (eV per cell) = -26.0

POSCAR file:
```
TiTlS3
1.0
4.800 0.000 0.000
0.000 4.800 0.000
0.000 0.000 4.800
Tl S Ti
1 3 1
Cartesian
2.400 2.400 2.400
0.000 2.400 0.000
0.000 0.000 2.400
2.400 0.000 0.000
0.000 0.000 0.000
```

Record 4
The following is a DFT calculation (PBE) of an optimized crystal structure of In2SiAu.

- E_form (uncorrected) (eV/atom) = 0.132
- theoretical density (g/cm3) = 8.404
- DOS at the Fermi energy (states/eV per cell) = 1.4
- M_tot (μB per atom) = 0.00
- raw total energy (eV per cell) = -13.6

POSCAR file:
```
In2SiAu
1.0
-0.237 6.507 -0.755
-3.965 3.518 -3.855
0.965 -4.329 4.826
Au In Si
1 2 1
Cartesian
-0.499 3.147 1.089
-4.082 9.737 -4.478
-2.697 2.450 -0.828
-2.262 5.397 -2.482
```

Record 5
The following is a DFT calculation (PBE) of an optimized crystal structure of KLiP.

- ΔE_f (eV per atom) = 0.026
- theoretical density (g/cm3) = 1.708
- DOS at the Fermi energy (states/eV per cell) = 3.7
- M_tot (μB per atom) = 0.31
- raw total energy (eV per cell) = -8.3

POSCAR file:
```
KLiP
1.0
-2.800 3.680 1.001
-4.692 -0.408 -0.447
-2.744 -0.094 3.853
K Li P
1 1 1
Cartesian
-5.118 1.589 2.204
-7.677 2.384 3.305
0.000 0.000 0.000
```

Record 6
The following is a DFT calculation (PBE) of an optimized crystal structure of RePNO2.

- E_form (uncorrected) (eV/atom) = 1.293
- theoretical density (g/cm3) = 8.690
- DOS at the Fermi energy (states/eV per cell) = 3.3
- M_tot (μB per atom) = 0.25
- raw total energy (eV per cell) = -29.6

POSCAR file:
```
RePNO2
1.0
-3.535 -0.492 -0.918
0.279 -3.577 0.843
-1.008 0.743 3.485
Re N O P
1 1 2 1
Cartesian
-2.132 -1.663 1.705
0.000 0.000 0.000
0.140 -1.788 0.422
-1.768 -0.246 -0.459
-0.504 0.371 1.742
```